No. 1
{
  "formula": "NaLaRe",
  "functional": "PBE",
  "state": "optimized geometry",
  "cell": [[0.000, 3.399, 3.399], [3.399, 0.000, 3.399], [3.399, 3.399, 0.000]],
  "species": ["Na", "La", "Re"],
  "fractional_positions": [[0.000, 0.000, 0.000], [0.500, 0.500, 0.500], [0.750, 0.750, 0.750]],
  "polymorph_energy_mev_per_atom": 0
}

=====

No. 2
{
  "formula": "TlCoPb",
  "functional": "PBE",
  "state": "optimized geometry",
  "cell": [[0.000, 3.232, 3.232], [3.232, 0.000, 3.232], [3.232, 3.232, 0.000]],
  "species": ["Tl", "Co", "Pb"],
  "fractional_positions": [[0.000, 0.000, 0.000], [0.750, 0.750, 0.750], [0.500, 0.500, 0.500]],
  "polymorph_energy_mev_per_atom": 0
}

=====

No. 3
{
  "formula": "Sc4AuC3",
  "functional": "PBE",
  "state": "optimized geometry",
  "cell": [[3.338, 0.000, 0.000], [-1.669, 2.890, 0.000], [0.000, 0.000, 24.784]],
  "species": ["Sc", "Sc", "Sc", "Sc", "Sc", "Sc", "Sc", "Sc", "Au", "Au", "C", "C", "C", "C", "C", "C"],
  "fractional_positions": [[0.000, 0.000, 0.157], [0.000, 0.000, 0.343], [0.000, 0.000, 0.657], [0.000, 0.000, 0.843], [0.333, 0.667, 0.055], [0.333, 0.667, 0.445], [0.667, 0.333, 0.555], [0.667, 0.333, 0.945], [0.333, 0.667, 0.250], [0.667, 0.333, 0.750], [0.000, 0.000, 0.000], [0.000, 0.000, 0.500], [0.333, 0.667, 0.614], [0.333, 0.667, 0.886], [0.667, 0.333, 0.114], [0.667, 0.333, 0.386]],
  "total_energy_ev_per_atom": -7.48
}